Entry 1:
A plane-wave DFT calculation with GGA-PBE was carried out for a geometry-optimized U4Ga15Ag structure.

## Properties
ΔH_f (0 K) ... -0.168 eV per atom
Crystal system ... tetragonal

Lattice parameters (Å, degrees): 4.2521 4.2521 21.0708 90.00 90.00 90.00
Closest atoms and distances in Å follow each position.
Sites, in units of the cell vectors:
U 0.0000 0.0000 0.1940  12 Ga 3.01-3.03
U 0.0000 0.0000 0.3984  12 Ga 3.01-3.02
U 0.0000 0.0000 0.6016  12 Ga 3.01-3.02
U 0.0000 0.0000 0.8060  12 Ga 3.01-3.03
Ga 0.5000 0.5000 0.0000  8 Ga 2.88, 4 Ag 3.01
Ga 0.5000 0.5000 0.2008  8 Ga 2.93-3.12, 4 U 3.01
Ga 0.5000 0.5000 0.3990  4 U 3.01, 8 Ga 3.01-3.03
Ga 0.5000 0.5000 0.6010  4 U 3.01, 8 Ga 3.01-3.03
Ga 0.5000 0.5000 0.7992  8 Ga 2.93-3.12, 4 U 3.01
Ga 0.5000 0.0000 0.0925  2 Ag 2.88, 8 Ga 2.88-3.12, 2 U 3.02
Ga 0.5000 0.0000 0.2966  8 Ga 2.93-3.03, 4 U 3.02-3.03
Ga 0.5000 0.0000 0.5000  8 Ga 3.01, 4 U 3.02
Ga 0.5000 0.0000 0.7034  8 Ga 2.93-3.03, 4 U 3.02-3.03
Ga 0.5000 0.0000 0.9075  8 Ga 2.88-3.12, 2 Ag 2.88, 2 U 3.02
Ga 0.0000 0.5000 0.0925  2 Ag 2.88, 8 Ga 2.88-3.12, 2 U 3.02
Ga 0.0000 0.5000 0.2966  8 Ga 2.93-3.03, 4 U 3.02-3.03
Ga 0.0000 0.5000 0.5000  8 Ga 3.01, 4 U 3.02
Ga 0.0000 0.5000 0.7034  8 Ga 2.93-3.03, 4 U 3.02-3.03
Ga 0.0000 0.5000 0.9075  8 Ga 2.88-3.12, 2 Ag 2.88, 2 U 3.02
Ag 0.0000 0.0000 0.0000  12 Ga 2.88-3.01

Entry 2:
A plane-wave DFT calculation with GGA-PBE was carried out for a geometry-optimized Li2ErSc2Sn2 structure.

## Properties
ΔH_f (0 K) ... -0.439 eV per atom
Crystal system ... trigonal

Lattice parameters (Å, degrees): 4.6826 4.6826 8.7152 74.42 74.42 60.00
Closest atoms and distances in Å follow each position.
Sites, in units of the cell vectors:
Li 0.5810 0.5810 0.2569  3 Sn 2.72, 3 Sc 2.95
Li 0.4190 0.4190 0.7431  3 Sn 2.72, 3 Sc 2.95
Er 0.0000 0.0000 0.0000  6 Sn 3.27, 2 Sc 3.30, 6 Li 3.44
Sc 0.1329 0.1329 0.6014  3 Li 2.95, 4 Sn 3.08-3.15, 3 Sc 3.18
Sc 0.8671 0.8671 0.3986  3 Li 2.95, 4 Sn 3.08-3.15, 3 Sc 3.18
Sn 0.7404 0.7404 0.7788  3 Li 2.72
Sn 0.2596 0.2596 0.2212  3 Li 2.72

Entry 3:
A plane-wave DFT calculation with GGA-PBE was carried out for a geometry-optimized Nd8AsRh2 structure.

## Properties
ΔH_f (0 K) ... -0.400 eV per atom
Crystal system ... monoclinic

Lattice parameters (Å, degrees): 6.6379 7.3891 7.3891 113.58 94.27 94.27
Closest atoms and distances in Å follow each position.
Sites, in units of the cell vectors:
Nd 0.8494 0.9431 0.6722  2 Rh 2.85-2.89
Nd 0.8494 0.6722 0.9431  2 Rh 2.85-2.89
Nd 0.2790 0.6510 0.6510  1 As 3.00, 2 Rh 3.02
Nd 0.5000 0.7553 0.2447  1 As 3.03, 2 Nd 3.26
Nd 0.5000 0.2447 0.7553  1 As 3.03, 2 Nd 3.26
Nd 0.7210 0.3490 0.3490  1 As 3.00, 2 Rh 3.02
Nd 0.1506 0.3278 0.0569  2 Rh 2.85-2.89
Nd 0.1506 0.0569 0.3278  2 Rh 2.85-2.89
As 0.5000 0.0000 0.0000  4 Nd 3.00-3.03
Rh 0.0000 0.3223 0.6777  6 Nd 2.85-3.02
Rh 0.0000 0.6777 0.3223  6 Nd 2.85-3.02

Entry 4:
A plane-wave DFT calculation with GGA-PBE was carried out for a geometry-optimized NaCuSnSe2 structure.

## Properties
Raw formation energy ... -0.500 eV/atom
Crystal system ... monoclinic

Lattice parameters (Å, degrees): 4.8371 7.2322 8.0024 111.61 90.00 90.00
Closest atoms and distances in Å follow each position.
Sites, in units of the cell vectors:
Na 0.2340 0.5000 0.7500  6 Se 3.09-3.18
Na 0.7660 0.5000 0.2500  6 Se 3.09-3.18
Cu 0.0000 0.0000 0.0000  2 Se 2.31
Cu 0.0000 0.0000 0.5000  2 Se 2.31
Sn 0.3915 0.0000 0.2500  2 Cu 2.75, 2 Se 2.78
Sn 0.6085 0.0000 0.7500  2 Cu 2.75, 2 Se 2.78
Se 0.7324 0.7327 0.9948  1 Cu 2.31
Se 0.7324 0.2673 0.5052  1 Cu 2.31
Se 0.2676 0.7327 0.4948  1 Cu 2.31
Se 0.2676 0.2673 0.0052  1 Cu 2.31

Entry 5:
A plane-wave DFT calculation with GGA-PBE was carried out for a geometry-optimized Rb2InFeI6 structure.

## Properties
Raw formation energy ... -0.632 eV/atom
Crystal system ... tetragonal

Lattice parameters (Å, degrees): 8.3042 8.3042 8.3155 60.05 60.05 90.00
Closest atoms and distances in Å follow each position.
Sites, in units of the cell vectors:
I 0.2720 0.2720 0.4560  1 Fe 2.69
I 0.7280 0.7280 0.5440  1 Fe 2.69
I 0.2722 0.2722 0.0000  1 Fe 2.68
I 0.7278 0.7278 0.0000  1 Fe 2.68
I 0.7278 0.2722 0.0000  1 Fe 2.68
I 0.2722 0.7278 0.0000  1 Fe 2.68
Fe 0.5000 0.5000 0.0000  6 I 2.68-2.69
Rb 0.7500 0.2500 0.5000  12 I 4.16-4.17
Rb 0.2500 0.7500 0.5000  12 I 4.16-4.17
In 0.0000 0.0000 0.0000  6 I 3.20

Entry 6:
A plane-wave DFT calculation with GGA-PBE was carried out for a geometry-optimized TaNiAs3 structure.

## Properties
ΔH_f (0 K) ... 0.770 eV per atom
Relative energy among the computed polymorphs ... 0.0697 eV/atom
Crystal system ... cubic

Lattice parameters (Å, degrees): 4.9496 4.9496 4.9496 90.00 90.00 90.00
Closest atoms and distances in Å follow each position.
Sites, in units of the cell vectors:
Ni 0.5000 0.5000 0.5000  12 As 3.50
As 0.0000 0.5000 0.0000  2 Ta 2.47
As 0.0000 0.0000 0.5000  2 Ta 2.47
As 0.5000 0.0000 0.0000  2 Ta 2.47
Ta 0.0000 0.0000 0.0000  6 As 2.47

Entry 7:
A plane-wave DFT calculation with GGA-PBE was carried out for a geometry-optimized AlSe3 structure.

## Properties
Raw formation energy ... 0.291 eV/atom
Relative energy among the computed polymorphs ... 0.5746 eV/atom
Crystal system ... cubic

Lattice parameters (Å, degrees): 4.8070 4.8070 4.8070 60.00 60.00 60.00
Closest atoms and distances in Å follow each position.
Sites, in units of the cell vectors:
Al 0.0000 0.0000 0.0000  8 Se 2.94
Se 0.7500 0.7500 0.7500  4 Se 2.94, 4 Al 2.94
Se 0.5000 0.5000 0.5000  8 Se 2.94
Se 0.2500 0.2500 0.2500  4 Se 2.94, 4 Al 2.94

Entry 8:
A plane-wave DFT calculation with GGA-PBE was carried out for a geometry-optimized CsTiB2 structure.

## Properties
ΔH_f (0 K) ... 1.296 eV per atom
Crystal system ... tetragonal

Lattice parameters (Å, degrees): 5.0494 5.0494 8.1738 72.01 72.01 90.00
Closest atoms and distances in Å follow each position.
Sites, in units of the cell vectors:
Cs 0.0000 0.0000 0.0000  8 B 3.37, 4 Ti 3.57
Cs 0.7500 0.2500 0.5000  8 B 3.37, 4 Ti 3.57
B 0.3750 0.1250 0.2500  2 Ti 2.23
B 0.3750 0.6250 0.2500  2 Ti 2.23
B 0.3750 0.6250 0.7500  2 Ti 2.23
B 0.8750 0.6250 0.7500  2 Ti 2.23
Ti 0.5000 0.5000 0.0000  4 B 2.23
Ti 0.2500 0.7500 0.5000  4 B 2.23

Entry 9:
A plane-wave DFT calculation with GGA-PBE was carried out for a geometry-optimized PaFeCo structure.

## Properties
ΔH_f (0 K) ... -0.091 eV per atom
Relative energy among the computed polymorphs ... 0.1896 eV/atom
Crystal system ... hexagonal

Lattice parameters (Å, degrees): 3.6158 3.9530 3.9530 120.00 90.00 90.00
Closest atoms and distances in Å follow each position.
Sites, in units of the cell vectors:
Pa 0.6667 0.3333 0.6667  6 Co 2.91, 6 Fe 2.91
Co 0.1662 0.6667 0.3333  3 Fe 2.28
Fe 0.1671 0.0000 0.0000  3 Co 2.28

Entry 10:
A plane-wave DFT calculation with GGA-PBE was carried out for a geometry-optimized Pm3YTm3 structure.

## Properties
ΔH_f (0 K) ... 0.016 eV per atom
Relative energy among the computed polymorphs ... 0.0000 eV/atom
Crystal system ... hexagonal

Lattice parameters (Å, degrees): 5.7175 9.5899 9.5907 120.01 90.00 90.00
Closest atoms and distances in Å follow each position.
Sites, in units of the cell vectors:
Pm 0.7500 0.7581 0.8047  5 Tm 3.53-3.65, 6 Pm 3.57-3.69, 1 Y 3.60
Pm 0.7500 0.0466 0.2420  5 Tm 3.53-3.65, 6 Pm 3.57-3.69, 1 Y 3.60
Pm 0.7500 0.1953 0.9533  5 Tm 3.53-3.65, 6 Pm 3.57-3.69, 1 Y 3.60
Pm 0.2500 0.2419 0.1953  5 Tm 3.53-3.65, 6 Pm 3.57-3.69, 1 Y 3.60
Pm 0.2500 0.9534 0.7580  5 Tm 3.53-3.65, 6 Pm 3.57-3.69, 1 Y 3.60
Pm 0.2500 0.8047 0.0467  5 Tm 3.53-3.65, 6 Pm 3.57-3.69, 1 Y 3.60
Y 0.7500 0.3334 0.6667  9 Tm 3.54-3.61, 3 Pm 3.60
Y 0.2500 0.6666 0.3333  9 Tm 3.54-3.61, 3 Pm 3.60
Tm 0.2500 0.5224 0.6168  4 Tm 3.52-3.63, 5 Pm 3.53-3.65, 3 Y 3.54-3.61
Tm 0.2500 0.0944 0.4777  4 Tm 3.52-3.63, 5 Pm 3.53-3.65, 3 Y 3.54-3.61
Tm 0.2500 0.3832 0.9055  4 Tm 3.52-3.63, 5 Pm 3.53-3.65, 3 Y 3.54-3.61
Tm 0.7500 0.4776 0.3832  4 Tm 3.52-3.63, 5 Pm 3.53-3.65, 3 Y 3.54-3.61
Tm 0.7500 0.9056 0.5223  4 Tm 3.52-3.63, 5 Pm 3.53-3.65, 3 Y 3.54-3.61
Tm 0.7500 0.6168 0.0945  4 Tm 3.52-3.63, 5 Pm 3.53-3.65, 3 Y 3.54-3.61

Entry 11:
A plane-wave DFT calculation with GGA-PBE was carried out for a geometry-optimized CsSc2ZnCl structure.

## Properties
Raw formation energy ... 1.366 eV/atom
Crystal system ... tetragonal

Lattice parameters (Å, degrees): 5.5435 5.8791 5.5435 90.00 90.00 90.00
Closest atoms and distances in Å follow each position.
Sites, in units of the cell vectors:
Cs 0.0000 0.0000 0.0000  4 Sc 2.77, 2 Zn 2.94
Sc 0.0000 0.0000 0.5000  2 Cs 2.77
Sc 0.5000 0.0000 0.0000  2 Cs 2.77
Zn 0.0000 0.5000 0.0000  2 Cs 2.94
Cl 0.5000 0.5000 0.5000  4 Zn 3.92, 8 Sc 4.04

Entry 12:
A plane-wave DFT calculation with GGA-PBE was carried out for a geometry-optimized Nb5H4 structure.

## Properties
Crystal system ... tetragonal

Lattice parameters (Å, degrees): 3.4744 5.7078 5.7078 84.69 72.28 72.28
Closest atoms and distances in Å follow each position.
Sites, in units of the cell vectors:
Nb 0.6003 0.6009 0.1986  3 H 1.92-1.94
Nb 0.7989 0.8014 0.6009  3 H 1.92-1.94
Nb 0.2011 0.1986 0.3991  3 H 1.92-1.94
Nb 0.3997 0.3991 0.8014  3 H 1.92-1.94
Nb 0.0000 0.0000 0.0000  4 H 1.94
H 0.7476 0.2494 0.2554  4 Nb 1.92-1.94
H 0.0030 0.7446 0.2494  4 Nb 1.92-1.94
H 0.9970 0.2554 0.7506  4 Nb 1.92-1.94
H 0.2524 0.7506 0.7446  4 Nb 1.92-1.94

| no. | E_tot (eV per atom) |
| --- | --- |
| 1 | -4.84 |
| 2 | -4.59 |
| 3 | -5.63 |
| 4 | -3.78 |
| 5 | -2.88 |
| 6 | -5.55 |
| 7 | -3.26 |
| 8 | -4.23 |
| 9 | -8.45 |
| 10 | -4.86 |
| 11 | -1.96 |
| 12 | -7.30 |